Record 1
Ac3Pr3SmTe8: optimized geometry, PBE.

Results
ρ in g/cm³: 6.82
SG: R-3m, No. 166
Density of states at the Fermi level in states/eV per atom: 0.52
Raw formation energy in eV/atom: -1.488

Cell: 9.1513 9.1514 9.2820 Å, 119.54 90.00 120.00°
Element x y z (fractional)
Pr  0.0000  0.5000  0.5000
Te  0.2553  0.0076  0.2600
Te  0.7447  0.9924  0.7400
Te  0.2539  0.5078  0.2617
Ac  0.0000  0.5000  0.0000
Te  0.7523  0.0076  0.2600
Ac  0.0000  0.0000  0.0000
Sm  0.0000  0.0000  0.5000
Pr  0.5000  0.0000  0.5000
Te  0.2476  0.4953  0.7400
Pr  0.5000  0.5000  0.5000
Te  0.7461  0.4922  0.7383
Te  0.7524  0.5047  0.2600
Te  0.2477  0.9924  0.7400
Ac  0.5000  0.5000  0.0000

---

Record 2
AcPr3Sm2Te6: optimized geometry, PBE.

Results
ρ in g/cm³: 7.19
SG: C2/m, No. 12
Density of states at the Fermi level in states/eV per atom: 0.56
Raw formation energy in eV/atom: -1.425

Cell: 7.8623 7.8623 7.8781 Å, 99.58 99.58 120.29°
Element x y z (fractional)
Pr  0.8423  0.1577  0.5000
Sm  0.3321  0.6679  0.0000
Sm  0.6679  0.3321  0.0000
Te  0.7344  0.7344  0.2424
Te  0.2656  0.2656  0.7576
Te  0.9157  0.5702  0.7475
Te  0.4298  0.0843  0.2525
Te  0.0843  0.4298  0.2525
Ac  0.0000  0.0000  0.0000
Te  0.5702  0.9157  0.7475
Pr  0.1577  0.8423  0.5000
Pr  0.5000  0.5000  0.5000

---

Record 3
AcPr2Sm3Te6: optimized geometry, PBE.

Results
ρ in g/cm³: 7.30
SG: C2/m, No. 12
Density of states at the Fermi level in states/eV per atom: 0.53
Raw formation energy in eV/atom: -1.416

Cell: 4.4968 9.1094 10.1252 Å, 103.51 102.83 90.00°
Element x y z (fractional)
Ac  0.5000  0.0000  0.0000
Te  0.6717  0.0806  0.3433
Pr  0.8304  0.6619  0.6609
Sm  0.5000  0.5000  0.0000
Te  0.3283  0.9194  0.6567
Sm  0.8347  0.1712  0.6695
Te  0.6641  0.5867  0.3282
Te  0.9997  0.7375  0.9993
Te  0.3359  0.4133  0.6718
Sm  0.1653  0.8288  0.3305
Te  0.0003  0.2625  0.0007
Pr  0.1696  0.3381  0.3391

---

Record 4
Ac3Pr4SmTe8: optimized geometry, PBE.

Results
ρ in g/cm³: 7.28
SG: C2/m, No. 12
Density of states at the Fermi level in states/eV per atom: 0.75
Raw formation energy in eV/atom: -1.441

Cell: 9.2217 9.1788 9.2117 Å, 120.05 120.04 90.00°
Element x y z (fractional)
Te  0.2473  0.7551  0.4946
Te  0.2460  0.2379  0.4920
Te  0.7540  0.7621  0.5080
Te  0.2396  0.2448  0.9923
Ac  0.5000  0.5000  0.5000
Te  0.2473  0.7552  0.0077
Pr  0.0000  0.0000  0.0000
Ac  0.5000  0.5000  0.0000
Te  0.7527  0.2448  0.9923
Pr  0.5000  0.0000  0.0000
Sm  0.0000  0.5000  0.0000
Ac  0.0000  0.5000  0.5000
Pr  0.5000  0.0000  0.5000
Te  0.7604  0.7552  0.0077
Te  0.7527  0.2449  0.5054
Pr  0.0000  0.0000  0.5000

---

Record 5
Ac2PrSmTe5: optimized geometry, PBE.

Results
ρ in g/cm³: 6.14
SG: P4/mmm, No. 123
Density of states at the Fermi level in states/eV per atom: 0.76
Raw formation energy in eV/atom: -0.974

Cell: 5.6021 5.6021 11.9253 Å, 90.00 90.00 90.00°
Element x y z (fractional)
Te  0.0000  0.0000  0.2479
Te  0.0000  0.5000  0.5000
Ac  0.5000  0.5000  0.3085
Pr  0.0000  0.0000  0.0000
Ac  0.5000  0.5000  0.6915
Te  0.5000  0.0000  0.5000
Te  0.5000  0.5000  0.0000
Sm  0.0000  0.0000  0.5000
Te  0.0000  0.0000  0.7521

---

Record 6
Ac2PrSm3Te6: optimized geometry, PBE.

Results
ρ in g/cm³: 7.50
SG: C2/m, No. 12
Density of states at the Fermi level in states/eV per atom: 0.54
Raw formation energy in eV/atom: -1.423

Cell: 4.5249 9.1854 10.2136 Å, 103.90 102.80 90.00°
Element x y z (fractional)
Te  0.3326  0.9293  0.6652
Te  0.6632  0.5937  0.3264
Te  0.0058  0.7477  0.0115
Sm  0.5000  0.5000  0.0000
Sm  0.1682  0.8355  0.3365
Ac  0.8354  0.6699  0.6709
Sm  0.8318  0.1645  0.6635
Ac  0.1646  0.3301  0.3291
Te  0.6674  0.0707  0.3348
Te  0.3368  0.4063  0.6736
Te  0.9942  0.2523  0.9885
Pr  0.5000  0.0000  0.0000